# 1
Hf6TiIn: optimized geometry, GGA-PBE.

Results
D(E_F)   9.09 states/eV/cell
Energy above the lowest structure with this stoichiometry   0.000 eV per atom
DFT formation energy   -0.037 eV per atom

a b c (Å): 4.3749 4.3749 8.9957
angles (deg): 90.00 90.00 90.00
With the nearest neighbours (Å) after each atom.
Atoms (fractional coordinates):
Hf1 0.0000 0.0000 0.0000  8 Hf 3.08, 4 Ti 3.09
Hf2 0.0000 0.0000 0.5000  4 In 3.09, 8 Hf 3.19
Hf3 0.0000 0.5000 0.2412  8 Hf 3.08-3.19, 2 Ti 3.08, 2 In 3.19
Hf4 0.0000 0.5000 0.7588  8 Hf 3.08-3.19, 2 Ti 3.08, 2 In 3.19
Hf5 0.5000 0.0000 0.2412  8 Hf 3.08-3.19, 2 Ti 3.08, 2 In 3.19
Hf6 0.5000 0.0000 0.7588  8 Hf 3.08-3.19, 2 Ti 3.08, 2 In 3.19
Ti1 0.5000 0.5000 0.0000  12 Hf 3.08-3.09
In1 0.5000 0.5000 0.5000  12 Hf 3.09-3.19

***

# 2
HfTi3In4: optimized geometry, GGA-PBE.

Results
D(E_F)   19.04 states/eV/cell
Energy above the lowest structure with this stoichiometry   0.000 eV per atom
DFT formation energy   -0.119 eV per atom

a b c (Å): 9.8782 6.1280 5.2645
angles (deg): 90.00 90.00 90.00
With the nearest neighbours (Å) after each atom.
Atoms (fractional coordinates):
Hf1 0.0000 0.0000 0.0000  4 Ti 2.99-3.06, 8 In 3.05-3.06
Hf2 0.5000 0.0000 0.0000  4 Ti 2.99-3.06, 8 In 3.05-3.06
Ti1 0.0000 0.5000 0.0000  2 Ti 2.96, 8 In 3.02-3.03, 2 Hf 3.06
Ti2 0.2500 0.0000 0.3196  2 Hf 2.99, 8 In 2.99-3.13, 2 Ti 3.06
Ti3 0.2500 0.5000 0.3091  8 In 2.91-3.15, 4 Ti 2.96-3.06
Ti4 0.5000 0.5000 0.0000  2 Ti 2.96, 8 In 3.02-3.03, 2 Hf 3.06
Ti5 0.7500 0.0000 0.6804  2 Hf 2.99, 8 In 2.99-3.13, 2 Ti 3.06
Ti6 0.7500 0.5000 0.6909  8 In 2.91-3.15, 4 Ti 2.96-3.06
In1 0.0000 0.2550 0.5000  4 In 3.00-3.12, 6 Ti 3.03-3.07, 2 Hf 3.06
In2 0.0000 0.7450 0.5000  4 In 3.00-3.12, 6 Ti 3.03-3.07, 2 Hf 3.06
In3 0.2500 0.2545 0.8353  6 Ti 2.91-3.15, 4 In 3.01-3.12, 2 Hf 3.05
In4 0.2500 0.7455 0.8353  6 Ti 2.91-3.15, 4 In 3.01-3.12, 2 Hf 3.05
In5 0.5000 0.2550 0.5000  4 In 3.00-3.12, 6 Ti 3.03-3.07, 2 Hf 3.06
In6 0.5000 0.7450 0.5000  4 In 3.00-3.12, 6 Ti 3.03-3.07, 2 Hf 3.06
In7 0.7500 0.2545 0.1647  6 Ti 2.91-3.15, 4 In 3.01-3.12, 2 Hf 3.05
In8 0.7500 0.7455 0.1647  6 Ti 2.91-3.15, 4 In 3.01-3.12, 2 Hf 3.05

***

# 3
Hf5Ti2In5: optimized geometry, GGA-PBE.

Results
D(E_F)   11.69 states/eV/cell
Energy above the lowest structure with this stoichiometry   0.099 eV per atom
DFT formation energy   -0.019 eV per atom

a b c (Å): 5.6741 5.6741 10.8267
angles (deg): 108.07 108.07 52.04
With the nearest neighbours (Å) after each atom.
Atoms (fractional coordinates):
Hf1 0.0000 0.0000 0.0000  8 In 3.03-3.40, 2 Hf 3.05
Hf2 0.0987 0.0987 0.7638  3 Hf 2.99-3.22, 6 In 3.06-3.28, 3 Ti 3.09-3.28
Hf3 0.1584 0.1584 0.5117  1 Ti 2.93, 3 In 2.95-2.98, 5 Hf 2.99-3.22
Hf4 0.8416 0.8416 0.4883  1 Ti 2.93, 3 In 2.95-2.98, 5 Hf 2.99-3.22
Hf5 0.9013 0.9013 0.2362  3 Hf 2.99-3.22, 6 In 3.06-3.28, 3 Ti 3.09-3.28
Ti1 0.4126 0.4126 0.7445  4 In 2.85-3.07, 3 Hf 2.93-3.09
Ti2 0.5874 0.5874 0.2555  4 In 2.85-3.07, 3 Hf 2.93-3.09
In1 0.2314 0.2314 0.2677  2 Ti 2.87, 4 Hf 2.98-3.12, 2 In 3.01-3.18
In2 0.3417 0.3417 0.0263  1 Ti 2.85, 3 Hf 3.03-3.06, 3 In 3.05-3.18
In3 0.5000 0.5000 0.5000  4 Hf 2.95, 2 In 3.01, 2 Ti 3.07
In4 0.6583 0.6583 0.9737  1 Ti 2.85, 3 Hf 3.03-3.06, 3 In 3.05-3.18
In5 0.7686 0.7686 0.7323  2 Ti 2.87, 4 Hf 2.98-3.12, 2 In 3.01-3.18

***

# 4
Hf2Ti8In3: optimized geometry, GGA-PBE.

Results
D(E_F)   19.57 states/eV/cell
DFT formation energy   0.198 eV per atom

a b c (Å): 10.6649 10.6649 10.6649
angles (deg): 29.28 29.28 29.28
With the nearest neighbours (Å) after each atom.
Atoms (fractional coordinates):
Hf1 0.1406 0.1406 0.1406  4 Ti 2.57-2.81
Hf2 0.8594 0.8594 0.8594  4 Ti 2.57-2.81
Ti1 0.2245 0.2245 0.2245  1 Hf 2.57, 1 In 2.79
Ti2 0.2288 0.2288 0.7335  4 Ti 2.67-2.72, 1 Hf 2.81, 1 In 2.95
Ti3 0.2288 0.7335 0.2288  4 Ti 2.67-2.72, 1 Hf 2.81, 1 In 2.95
Ti4 0.2665 0.7712 0.7712  4 Ti 2.67-2.72, 1 Hf 2.81, 1 In 2.95
Ti5 0.7335 0.2288 0.2288  4 Ti 2.67-2.72, 1 Hf 2.81, 1 In 2.95
Ti6 0.7712 0.2665 0.7712  4 Ti 2.67-2.72, 1 Hf 2.81, 1 In 2.95
Ti7 0.7712 0.7712 0.2665  4 Ti 2.67-2.72, 1 Hf 2.81, 1 In 2.95
Ti8 0.7755 0.7755 0.7755  1 Hf 2.57, 1 In 2.79
In1 0.3155 0.3155 0.3155  10 Ti 2.79-3.04
In2 0.5000 0.5000 0.5000  6 Hf 3.21, 12 Ti 3.52-3.58
In3 0.6845 0.6845 0.6845  10 Ti 2.79-3.04